(1)
The following is a DFT calculation (PBE) of a geometry-optimized Tb2Sm7Ho3 structure.

Calculated total energy, eV/atom: -4.5567
Calculated density, g cm⁻³: 7.81
Energy relative to the elements, meV per atom: 112

```
data_Tb2Sm7Ho3
_chemical_formula_sum 'Tb4 Sm14 Ho6'
_space_group_name_H-M_alt 'C m m m'
_space_group_IT_number 65
_space_group_name_Hall '-C 2 2'
_cell_length_a 5.758
_cell_length_b 38.032
_cell_length_c 3.622
_cell_angle_alpha 90.00
_cell_angle_beta 90.00
_cell_angle_gamma 90.00
loop_
_atom_site_label
_atom_site_type_symbol
_atom_site_fract_x
_atom_site_fract_y
_atom_site_fract_z
Tb1 Tb 0.000 0.148 0.000
Sm1 Sm 0.000 0.000 0.000
Sm2 Sm 0.000 0.072 0.500
Sm3 Sm 0.000 0.232 0.000
Sm4 Sm 0.000 0.408 0.000
Ho1 Ho 0.000 0.315 0.500
Ho2 Ho 0.000 0.500 0.500
```

---

(2)
The following is a DFT calculation (PBE) of a geometry-optimized Tb2SmHo structure.

Calculated total energy, eV/atom: -4.4925
Calculated density, g cm⁻³: 8.08
Energy relative to the elements, meV per atom: 147

```
data_Tb2SmHo
_chemical_formula_sum 'Tb8 Sm4 Ho4'
_space_group_name_H-M_alt 'F m -3 m'
_space_group_IT_number 225
_space_group_name_Hall '-F 4 2 3'
_cell_length_a 8.044
_cell_length_b 8.044
_cell_length_c 8.044
_cell_angle_alpha 90.00
_cell_angle_beta 90.00
_cell_angle_gamma 90.00
loop_
_atom_site_label
_atom_site_type_symbol
_atom_site_fract_x
_atom_site_fract_y
_atom_site_fract_z
Tb1 Tb 0.250 0.250 0.250
Sm1 Sm 0.000 0.000 0.000
Ho1 Ho 0.000 0.000 0.500
```

---

(3)
The following is a DFT calculation (PBE) of a geometry-optimized Tb2Sm6Ho3 structure.

Calculated total energy, eV/atom: -4.6500
Calculated density, g cm⁻³: 7.96
Energy relative to the elements, meV per atom: 14

```
data_Tb2Sm6Ho3
_chemical_formula_sum 'Tb6 Sm18 Ho9'
_space_group_name_H-M_alt 'R -3 m'
_space_group_IT_number 166
_space_group_name_Hall '-R 3 2"'
_cell_length_a 3.5877
_cell_length_b 3.5877
_cell_length_c 96.3159
_cell_angle_alpha 90.00
_cell_angle_beta 90.00
_cell_angle_gamma 120.00
loop_
_atom_site_label
_atom_site_type_symbol
_atom_site_fract_x
_atom_site_fract_y
_atom_site_fract_z
Tb1 Tb 0.0000 0.0000 0.0459
Sm1 Sm 0.0000 0.0000 0.1366
Sm2 Sm 0.0000 0.0000 0.3179
Sm3 Sm 0.0000 0.0000 0.4096
Ho1 Ho 0.0000 0.0000 0.2269
Ho2 Ho 0.0000 0.0000 0.5000
```

---

(4)
The following is a DFT calculation (PBE) of a geometry-optimized Tb5SmHo12 structure.

Calculated total energy, eV/atom: -4.5813
Calculated density, g cm⁻³: 8.61
Energy relative to the elements, meV per atom: 19

```
data_Tb5SmHo12
_chemical_formula_sum 'Tb10 Sm2 Ho24'
_space_group_name_H-M_alt 'C 1 2/m 1'
_space_group_IT_number 12
_cell_length_a 18.382
_cell_length_b 10.605
_cell_length_c 6.130
_cell_angle_alpha 90.00
_cell_angle_beta 109.34
_cell_angle_gamma 90.00
loop_
_space_group_symop_operation_xyz
'x,y,z'
'-x,-y,-z'
'-x,y,-z'
'x,-y,z'
'x+1/2,y+1/2,z'
'-x+1/2,-y+1/2,-z'
'-x+1/2,y+1/2,-z'
'x+1/2,-y+1/2,z'
loop_
_atom_site_label
_atom_site_type_symbol
_atom_site_fract_x
_atom_site_fract_y
_atom_site_fract_z
Tb1 Tb 0.000 0.000 0.000
Tb2 Tb 0.167 0.000 0.500
Tb3 Tb 0.167 0.500 0.000
Sm1 Sm 0.000 0.500 0.500
Ho1 Ho 0.000 0.166 0.500
Ho2 Ho 0.000 0.333 0.000
Ho3 Ho 0.167 0.167 0.000
Ho4 Ho 0.167 0.333 0.500
```

---

(5)
The following is a DFT calculation (PBE) of a geometry-optimized Tb3Sm2Ho8 structure.

Calculated total energy, eV/atom: -4.3674
Calculated density, g cm⁻³: 8.05
Energy relative to the elements, meV per atom: 244

```
data_Tb3Sm2Ho8
_chemical_formula_sum 'Tb6 Sm4 Ho16'
_space_group_name_H-M_alt 'C m m m'
_space_group_IT_number 65
_space_group_name_Hall '-C 2 2'
_cell_length_a 7.601
_cell_length_b 20.482
_cell_length_c 5.554
_cell_angle_alpha 90.00
_cell_angle_beta 90.00
_cell_angle_gamma 90.00
loop_
_atom_site_label
_atom_site_type_symbol
_atom_site_fract_x
_atom_site_fract_y
_atom_site_fract_z
Tb1 Tb 0.000 0.000 0.000
Tb2 Tb 0.213 0.500 0.500
Sm1 Sm 0.000 0.241 0.000
Ho1 Ho 0.000 0.131 0.500
Ho2 Ho 0.000 0.336 0.500
Ho3 Ho 0.212 0.393 0.000
```

---

(6)
The following is a DFT calculation (PBE) of a geometry-optimized Tb16Sm7Ho6 structure.

Calculated total energy, eV/atom: -4.3901
Calculated density, g cm⁻³: 7.72
Energy relative to the elements, meV per atom: 251

```
data_Tb16Sm7Ho6
_chemical_formula_sum 'Tb64 Sm28 Ho24'
_space_group_name_H-M_alt 'F m -3 m'
_space_group_IT_number 225
_space_group_name_Hall '-F 4 2 3'
_cell_length_a 15.802
_cell_length_b 15.802
_cell_length_c 15.802
_cell_angle_alpha 90.00
_cell_angle_beta 90.00
_cell_angle_gamma 90.00
loop_
_atom_site_label
_atom_site_type_symbol
_atom_site_fract_x
_atom_site_fract_y
_atom_site_fract_z
Tb1 Tb 0.126 0.126 0.126
Tb2 Tb 0.151 0.151 0.349
Sm1 Sm 0.000 0.000 0.000
Sm2 Sm 0.000 0.250 0.250
Ho1 Ho 0.000 0.000 0.268
```

---

(7)
The following is a DFT calculation (PBE) of a geometry-optimized TbSmHo2 structure.

Calculated total energy, eV/atom: -4.6125
Calculated density, g cm⁻³: 8.31
Energy relative to the elements, meV per atom: 14

```
data_TbSmHo2
_chemical_formula_sum 'Tb3 Sm3 Ho6'
_space_group_name_H-M_alt 'R 3 m'
_space_group_IT_number 160
_space_group_name_Hall 'R 3 -2"'
_cell_length_a 3.5801
_cell_length_b 3.5801
_cell_length_c 34.5332
_cell_angle_alpha 90.00
_cell_angle_beta 90.00
_cell_angle_gamma 120.00
loop_
_atom_site_label
_atom_site_type_symbol
_atom_site_fract_x
_atom_site_fract_y
_atom_site_fract_z
Tb1 Tb 0.0000 0.0000 0.0000
Sm1 Sm 0.0000 0.0000 0.1660
Ho1 Ho 0.0000 0.0000 0.4159
Ho2 Ho 0.0000 0.0000 0.5840
```

---

(8)
The following is a DFT calculation (PBE) of a geometry-optimized TbSm6Ho8 structure.

Calculated total energy, eV/atom: -4.4044
Calculated density, g cm⁻³: 7.84
Energy relative to the elements, meV per atom: 233

```
data_TbSm6Ho8
_chemical_formula_sum 'Tb1 Sm6 Ho8'
_space_group_name_H-M_alt 'P -3'
_space_group_IT_number 147
_cell_length_a 9.4445
_cell_length_b 9.4445
_cell_length_c 6.5307
_cell_angle_alpha 90.00
_cell_angle_beta 90.00
_cell_angle_gamma 120.00
loop_
_space_group_symop_operation_xyz
'x,y,z'
'-x,-y,-z'
'-y,x-y,z'
'y,-x+y,-z'
'-x+y,-x,z'
'x-y,x,-z'
loop_
_atom_site_label
_atom_site_type_symbol
_atom_site_fract_x
_atom_site_fract_y
_atom_site_fract_z
Tb1 Tb 0.0000 0.0000 0.0000
Sm1 Sm 0.0887 0.6794 0.0938
Ho1 Ho 0.0223 0.3323 0.3993
Ho2 Ho 0.3333 0.6667 0.6573
```

---

(9)
The following is a DFT calculation (PBE) of a geometry-optimized Tb6Sm6Ho structure.

Calculated total energy, eV/atom: -4.3804
Calculated density, g cm⁻³: 7.56
Energy relative to the elements, meV per atom: 287

```
data_Tb6Sm6Ho
_chemical_formula_sum 'Tb6 Sm6 Ho1'
_space_group_name_H-M_alt 'P 6/m m m'
_space_group_IT_number 191
_space_group_name_Hall '-P 6 2'
_cell_length_a 6.7048
_cell_length_b 6.7048
_cell_length_c 11.3980
_cell_angle_alpha 90.00
_cell_angle_beta 90.00
_cell_angle_gamma 120.00
loop_
_atom_site_label
_atom_site_type_symbol
_atom_site_fract_x
_atom_site_fract_y
_atom_site_fract_z
Tb1 Tb 0.0000 0.5000 0.2467
Sm1 Sm 0.0000 0.0000 0.3462
Sm2 Sm 0.3333 0.6667 0.0000
Sm3 Sm 0.3333 0.6667 0.5000
Ho1 Ho 0.0000 0.0000 0.0000
```

---

(10)
The following is a DFT calculation (PBE) of a geometry-optimized Tb3SmHo7 structure.

Calculated total energy, eV/atom: -4.4560
Calculated density, g cm⁻³: 8.33
Energy relative to the elements, meV per atom: 149

```
data_Tb3SmHo7
_chemical_formula_sum 'Tb3 Sm1 Ho7'
_space_group_name_H-M_alt 'P 1 2/m 1'
_space_group_IT_number 10
_cell_length_a 6.922
_cell_length_b 5.514
_cell_length_c 9.893
_cell_angle_alpha 90.00
_cell_angle_beta 109.91
_cell_angle_gamma 90.00
loop_
_space_group_symop_operation_xyz
'x,y,z'
'-x,-y,-z'
'-x,y,-z'
'x,-y,z'
loop_
_atom_site_label
_atom_site_type_symbol
_atom_site_fract_x
_atom_site_fract_y
_atom_site_fract_z
Tb1 Tb 0.000 0.000 0.000
Tb2 Tb 0.221 0.500 0.502
Sm1 Sm 0.500 0.000 0.000
Ho1 Ho 0.079 0.000 0.669
Ho2 Ho 0.178 0.500 0.859
Ho3 Ho 0.353 0.500 0.210
Ho4 Ho 0.500 0.000 0.500
```

---

(11)
The following is a DFT calculation (PBE) of a geometry-optimized Tb4SmHo2 structure.

Calculated total energy, eV/atom: -4.4974
Calculated density, g cm⁻³: 8.27
Energy relative to the elements, meV per atom: 131

```
data_Tb4SmHo2
_chemical_formula_sum 'Tb8 Sm2 Ho4'
_space_group_name_H-M_alt 'P 1 21/m 1'
_space_group_IT_number 11
_cell_length_a 6.105
_cell_length_b 6.565
_cell_length_c 11.537
_cell_angle_alpha 90.00
_cell_angle_beta 104.34
_cell_angle_gamma 90.00
loop_
_space_group_symop_operation_xyz
'x,y,z'
'-x,-y,-z'
'-x,y+1/2,-z'
'x,-y+1/2,z'
loop_
_atom_site_label
_atom_site_type_symbol
_atom_site_fract_x
_atom_site_fract_y
_atom_site_fract_z
Tb1 Tb 0.148 0.006 0.288
Tb2 Tb 0.213 0.250 0.571
Tb3 Tb 0.349 0.750 0.841
Sm1 Sm 0.470 0.750 0.143
Ho1 Ho 0.103 0.250 0.996
Ho2 Ho 0.349 0.750 0.555
```

---

(12)
The following is a DFT calculation (PBE) of a geometry-optimized Tb7Sm3Ho structure.

Calculated total energy, eV/atom: -4.4721
Calculated density, g cm⁻³: 7.63
Energy relative to the elements, meV per atom: 178

```
data_Tb7Sm3Ho
_chemical_formula_sum 'Tb7 Sm3 Ho1'
_space_group_name_H-M_alt 'P 3 m 1'
_space_group_IT_number 156
_cell_length_a 7.0842
_cell_length_b 7.0842
_cell_length_c 8.6580
_cell_angle_alpha 90.00
_cell_angle_beta 90.00
_cell_angle_gamma 120.00
loop_
_space_group_symop_operation_xyz
'x,y,z'
'-y,x-y,z'
'-x+y,-x,z'
'-y,-x,z'
'-x+y,y,z'
'x,x-y,z'
loop_
_atom_site_label
_atom_site_type_symbol
_atom_site_fract_x
_atom_site_fract_y
_atom_site_fract_z
Tb1 Tb 0.0000 0.0000 0.0000
Tb2 Tb 0.0020 0.5010 0.0026
Tb3 Tb 0.3314 0.1657 0.6737
Sm1 Sm 0.1667 0.3335 0.3386
Ho1 Ho 0.3333 0.6667 0.6768
```

---

no.,V (Å³/atom)
1,33.05
2,32.53
3,32.53
4,31.32
5,33.26
6,34.01
7,31.94
8,33.63
9,34.14
10,32.27
11,32.00
12,34.21